# 1
DFT (GGA-PBE) results for a relaxed Tl2FeReAu crystal.

The structure belongs to space group P4/mmm (No. 123); the cell edges are 5.3234, 5.3234 and 5.2553 Å and the angles 90.00°, 90.00° and 90.00°. The distinct sites, in fractional coordinates, are Tl at (0.0000, 0.5000, 0.0000), Fe at (0.0000, 0.0000, 0.5000), Re at (0.5000, 0.5000, 0.5000) and Au at (0.5000, 0.5000, 0.0000).


# 2
DFT (GGA-PBE) results for a relaxed FeRh2Au crystal.

The structure belongs to space group P4mm (No. 99); the cell edges are 2.7698, 2.7698 and 7.6709 Å and the angles 90.00°, 90.00° and 90.00°. The distinct sites, in fractional coordinates, are Fe at (0.0000, 0.0000, 0.0000), Rh at (0.0000, 0.0000, 0.4695), Rh at (0.5000, 0.5000, 0.2268) and Au at (0.5000, 0.5000, 0.7463).


# 3
DFT (GGA-PBE) results for a relaxed FeRh2Au crystal.

The structure belongs to space group C2/m (No. 12); the cell edges are 9.1699, 2.7837 and 4.7548 Å and the angles 90.00°, 102.74° and 90.00°. The distinct sites, in fractional coordinates, are Fe at (0.0000, 0.0000, 0.0000), Rh at (0.2375, 0.5000, 0.2341) and Au at (0.0000, 0.5000, 0.5000).


# 4
DFT (GGA-PBE) results for a relaxed Fe2RhAu crystal.

The structure belongs to space group R3m (No. 160, hexagonal axes); the cell edges are 2.7825, 2.7825 and 25.7906 Å and the angles 90.00°, 90.00° and 120.00°. The distinct sites, in fractional coordinates, are Fe at (0.0000, 0.0000, 0.0000), Fe at (0.0000, 0.0000, 0.2598), Rh at (0.0000, 0.0000, 0.5152) and Au at (0.0000, 0.0000, 0.7538).


# 5
DFT (GGA-PBE) results for a relaxed Fe2RhAu crystal.

The structure belongs to space group Cmmm (No. 65); the cell edges are 5.4924, 7.3744 and 2.8209 Å and the angles 90.00°, 90.00° and 90.00°. The distinct sites, in fractional coordinates, are Fe at (0.2500, 0.2500, 0.0000), Rh at (0.0000, 0.0000, 0.5000) and Au at (0.0000, 0.5000, 0.5000).


# 6
DFT (GGA-PBE) results for a relaxed FeRh2Au2 crystal.

The structure belongs to space group P4/mbm (No. 127); the cell edges are 6.3942, 6.3942 and 4.0945 Å and the angles 90.00°, 90.00° and 90.00°. The distinct sites, in fractional coordinates, are Fe at (0.0000, 0.0000, 0.0000), Rh at (0.1408, 0.3592, 0.0000) and Au at (0.1635, 0.6635, 0.5000).


Results for ΔE_f: 9.05, 0.34, 0.29, 0.55, 0.28, 1.59 (in eV per formula unit, following the order of the records).